# VPtNF2 | Alexandria | PBE with a Hubbard U | relaxed
# - Relative energy among the computed polymorphs: 411.7 meV/atom
data_VPtNF2
_cell_length_a 4.621
_cell_length_b 4.621
_cell_length_c 3.680
_cell_angle_alpha 90.00
_cell_angle_beta 90.00
_cell_angle_gamma 90.00
_space_group_name_H-M_alt 'P 4/m m m'
_space_group_IT_number 123
_space_group_name_Hall '-P 4 2'
loop_
_atom_site_label
_atom_site_type_symbol
_atom_site_fract_x
_atom_site_fract_y
_atom_site_fract_z
V1 V 0.000 0.000 0.000
Pt1 Pt 0.500 0.500 0.500
N1 N 0.500 0.500 0.000
F1 F 0.000 0.500 0.500